DFT (GGA-PBE) results for an optimized crystal structure of Sm3MgBi.

Geometry as POSCAR:
```
Sm3MgBi
1.0
4.020 -7.642 0.000
4.020 7.642 0.000
0.000 0.000 5.324
Sm Mg Bi
6 2 2
Direct
0.000 0.500 0.500
0.146 0.854 0.000
0.327 0.327 0.500
0.500 0.000 0.500
0.673 0.673 0.500
0.854 0.146 0.000
0.089 0.911 0.500
0.911 0.089 0.500
0.362 0.638 0.000
0.638 0.362 0.000
```

- ΔE_f: 0.055 eV/atom
- Calculated total energy: -3.87 eV/atom
- Density of states at the Fermi level: 1.111 states/eV/atom


DFT (GGA-PBE) results for an optimized crystal structure of SmMg2Bi.

Geometry as POSCAR:
```
SmMg2Bi
1.0
4.623 0.000 0.000
0.000 4.623 0.000
0.000 0.000 5.009
Sm Mg Bi
1 2 1
Direct
0.000 0.000 0.000
0.000 0.500 0.500
0.500 0.000 0.500
0.500 0.500 0.000
```

- ΔE_f: -0.378 eV/atom
- Calculated total energy: -3.32 eV/atom
- Energy relative to the lowest polymorph listed for this composition: 0.0 meV/atom
- Density of states at the Fermi level: 0.708 states/eV/atom


DFT (GGA-PBE) results for an optimized crystal structure of SmMgBi2.

Geometry as POSCAR:
```
SmMgBi2
1.0
4.605 0.000 0.000
-2.303 3.988 0.000
0.000 0.000 20.956
Sm Mg Bi
3 3 6
Direct
0.000 0.000 0.000
0.333 0.667 0.667
0.667 0.333 0.333
0.000 0.000 0.829
0.333 0.667 0.495
0.667 0.333 0.162
0.000 0.000 0.419
0.000 0.000 0.580
0.333 0.667 0.086
0.333 0.667 0.247
0.667 0.333 0.752
0.667 0.333 0.913
```

- ΔE_f: -0.421 eV/atom
- Calculated total energy: -3.94 eV/atom
- Energy relative to the lowest polymorph listed for this composition: 92.4 meV/atom
- Density of states at the Fermi level: 0.417 states/eV/atom


DFT (GGA-PBE) results for an optimized crystal structure of SmMgBiTe.

Geometry as POSCAR:
```
SmMgBiTe
1.0
2.476 1.429 12.448
-2.476 1.429 12.448
0.000 -2.859 12.448
Sm Mg Bi Te
2 2 2 2
Direct
0.107 0.107 0.107
0.893 0.893 0.893
0.306 0.306 0.306
0.694 0.694 0.694
0.386 0.386 0.386
0.614 0.614 0.614
0.197 0.197 0.197
0.803 0.803 0.803
```

- Calculated total energy: -4.10 eV/atom


DFT (GGA-PBE) results for an optimized crystal structure of SmMgTlBi.

Geometry as POSCAR:
```
SmMgTlBi
1.0
7.668 0.000 0.000
0.000 7.668 0.000
0.000 0.000 7.668
Sm Mg Tl Bi
4 4 4 4
Direct
0.000 0.000 0.000
0.000 0.500 0.500
0.500 0.000 0.500
0.500 0.500 0.000
0.000 0.000 0.500
0.000 0.500 0.000
0.500 0.000 0.000
0.500 0.500 0.500
0.250 0.250 0.250
0.250 0.750 0.750
0.750 0.250 0.750
0.750 0.750 0.250
0.250 0.250 0.750
0.250 0.750 0.250
0.750 0.250 0.250
0.750 0.750 0.750
```

- ΔE_f: -0.252 eV/atom
- Calculated total energy: -3.39 eV/atom
- Density of states at the Fermi level: 0.983 states/eV/atom


DFT (GGA-PBE) results for an optimized crystal structure of Mg2SnBi.

Geometry as POSCAR:
```
Mg2SnBi
1.0
7.435 0.000 0.000
0.000 7.435 0.000
0.000 0.000 7.435
Mg Sn Bi
8 4 4
Direct
0.250 0.250 0.250
0.250 0.250 0.750
0.250 0.750 0.250
0.250 0.750 0.750
0.750 0.250 0.250
0.750 0.250 0.750
0.750 0.750 0.250
0.750 0.750 0.750
0.000 0.000 0.000
0.000 0.500 0.500
0.500 0.000 0.500
0.500 0.500 0.000
0.000 0.000 0.500
0.000 0.500 0.000
0.500 0.000 0.000
0.500 0.500 0.500
```

- ΔE_f: -0.070 eV/atom
- Calculated total energy: -2.84 eV/atom
- Energy relative to the lowest polymorph listed for this composition: 28.2 meV/atom
- Density of states at the Fermi level: 0.639 states/eV/atom


DFT (GGA-PBE) results for an optimized crystal structure of Mg2SnBi2.

Geometry as POSCAR:
```
Mg2SnBi2
1.0
8.560 0.000 0.000
0.000 8.560 0.000
0.000 0.000 3.750
Mg Sn Bi
4 2 4
Direct
0.129 0.371 0.000
0.371 0.871 0.000
0.629 0.129 0.000
0.871 0.629 0.000
0.000 0.000 0.000
0.500 0.500 0.000
0.172 0.672 0.500
0.328 0.172 0.500
0.672 0.828 0.500
0.828 0.328 0.500
```

- ΔE_f: -0.012 eV/atom
- Calculated total energy: -3.00 eV/atom
- Energy relative to the lowest polymorph listed for this composition: 34.8 meV/atom
- Density of states at the Fermi level: 0.588 states/eV/atom


DFT (GGA-PBE) results for an optimized crystal structure of Mg5Sn2Bi.

Geometry as POSCAR:
```
Mg5Sn2Bi
1.0
4.499 0.000 0.000
0.000 6.476 0.000
0.000 0.000 14.143
Mg Sn Bi
10 4 2
Direct
0.000 0.000 0.000
0.000 0.254 0.382
0.000 0.254 0.618
0.000 0.746 0.382
0.000 0.746 0.618
0.500 0.246 0.118
0.500 0.246 0.882
0.500 0.500 0.500
0.500 0.754 0.118
0.500 0.754 0.882
0.000 0.000 0.210
0.000 0.000 0.790
0.500 0.500 0.290
0.500 0.500 0.710
0.000 0.500 0.000
0.500 0.000 0.500
```

- ΔE_f: -0.073 eV/atom
- Calculated total energy: -2.56 eV/atom
- Density of states at the Fermi level: 0.644 states/eV/atom